Entry 1:
SrYAg2: relaxed, PBE.

Results
Crystal system: monoclinic
Polymorph energy (0 for the lowest one), kJ per mole of atoms: 14.6
ΔE_f, eV/f.u.: -0.6

Geometry as extended XYZ:
```
4
Lattice="5.7426 -1.7885 0.0000 5.7426 1.7885 0.0000 -1.3840 0.0000 5.2281" Properties=species:S:1:pos:R:3 pbc="T T T"
Sr 0.0000 0.0000 0.0000
Y 8.5519 0.0000 2.0143
Ag 1.6644 0.0000 4.3911
Ag 5.4537 0.0000 2.7323
```



Entry 2:
La3Tc: relaxed, PBE.

Results
Crystal system: tetragonal
ΔE_f, eV/f.u.: 0.5

Geometry as extended XYZ:
```
4
Lattice="3.5644 0.0000 0.0000 0.0000 3.5644 0.0000 0.0000 0.0000 9.4755" Properties=species:S:1:pos:R:3 pbc="T T T"
La 0.0000 0.0000 0.0000
La 1.7822 1.7822 2.9902
La 1.7822 1.7822 6.4853
Tc 0.0000 0.0000 4.7377
```